(1)
VASP calculation (PBE) on a relaxed AlSbW2 crystal.

Values from the calculation:
For the volume, the calculation gives 69.7 Å³ per cell. The formation energy without anion corrections comes out at 0.547 eV per atom. The symmetry is R-3m. The energy comes out at -31.58 eV/cell. The value obtained for the distance to the lowest polymorph of the same formula is 395 meV/atom.

a b c (Å): 8.974 8.974 8.974
angles (deg): 19.40 19.40 19.40
Positions (direct):
W1 0.500 0.500 0.500
W2 0.000 0.000 0.000
Sb1 0.750 0.750 0.750
Al1 0.250 0.250 0.250

(2)
VASP calculation (PBE) on a relaxed AlSbW2 crystal.

Values from the calculation:
For the volume, the calculation gives 69.8 Å³ per cell. The formation energy without anion corrections comes out at 0.478 eV per atom. The symmetry is P4/mmm. The energy comes out at -31.86 eV/cell. The value obtained for the distance to the lowest polymorph of the same formula is 326 meV/atom.

a b c (Å): 3.404 3.404 6.023
angles (deg): 90.00 90.00 90.00
Positions (direct):
Sb1 0.500 0.500 0.750
Al1 0.500 0.500 0.250
W1 0.000 0.000 0.038
W2 0.000 0.000 0.462

(3)
VASP calculation (PBE) on a relaxed Al2SbW crystal.

Values from the calculation:
For the volume, the calculation gives 71.8 Å³ per cell. The formation energy without anion corrections comes out at 0.563 eV per atom. The symmetry is F-43m. The energy comes out at -22.31 eV/cell.

a b c (Å): 4.666 4.666 4.666
angles (deg): 60.00 60.00 60.00
Positions (direct):
Al1 0.750 0.750 0.750
Al2 0.000 0.000 0.000
Sb1 0.500 0.500 0.500
W1 0.250 0.250 0.250

(4)
VASP calculation (PBE) on a relaxed AlSbW2 crystal.

Values from the calculation:
For the volume, the calculation gives 70.0 Å³ per cell. The formation energy without anion corrections comes out at 0.352 eV per atom. The symmetry is Cm. The energy comes out at -32.36 eV/cell. The value obtained for the distance to the lowest polymorph of the same formula is 200 meV/atom.

a b c (Å): 4.975 4.975 4.815
angles (deg): 72.18 72.18 38.39
Positions (direct):
W1 0.262 0.262 0.276
W2 0.984 0.984 0.991
Al1 0.513 0.513 0.456
Sb1 0.741 0.741 0.777

(5)
VASP calculation (PBE) on a relaxed Al2SbW crystal.

Values from the calculation:
For the volume, the calculation gives 71.7 Å³ per cell. The formation energy without anion corrections comes out at 0.422 eV per atom. The symmetry is P2/m. The energy comes out at -22.87 eV/cell.

a b c (Å): 3.303 4.796 5.549
angles (deg): 54.70 90.00 90.00
Positions (direct):
Sb1 0.500 0.500 0.500
Al1 0.500 0.500 0.000
Al2 0.000 0.000 0.000
W1 0.000 0.000 0.500

(6)
VASP calculation (PBE) on a relaxed Al2SbW crystal.

Values from the calculation:
For the volume, the calculation gives 69.7 Å³ per cell. The formation energy without anion corrections comes out at 0.387 eV per atom. The symmetry is P4/mmm. The energy comes out at -23.01 eV/cell.

a b c (Å): 4.484 4.484 3.467
angles (deg): 90.00 90.00 90.00
Positions (direct):
Al1 0.000 0.000 0.000
Al2 0.500 0.500 0.000
Sb1 0.500 0.000 0.500
W1 0.000 0.500 0.500

(7)
VASP calculation (PBE) on a relaxed AlSbW2 crystal.

Values from the calculation:
For the volume, the calculation gives 68.6 Å³ per cell. The formation energy without anion corrections comes out at 0.518 eV per atom. The symmetry is Immm. The energy comes out at -31.70 eV/cell. The value obtained for the distance to the lowest polymorph of the same formula is 366 meV/atom.

a b c (Å): 5.231 5.231 5.231
angles (deg): 142.60 126.76 66.87
Positions (direct):
Sb1 0.250 0.750 0.500
W1 0.996 0.996 0.000
W2 0.504 0.504 0.000
Al1 0.750 0.250 0.500

(8)
VASP calculation (PBE) on a relaxed AlSbW2 crystal.

Values from the calculation:
For the volume, the calculation gives 68.4 Å³ per cell. The formation energy without anion corrections comes out at 0.627 eV per atom. The symmetry is P4/mmm. The energy comes out at -31.26 eV/cell. The value obtained for the distance to the lowest polymorph of the same formula is 475 meV/atom.

a b c (Å): 4.078 4.094 4.094
angles (deg): 90.00 90.00 90.00
Positions (direct):
W1 0.000 0.500 0.500
Al1 0.500 0.500 0.000
W2 0.000 0.000 0.000
Sb1 0.500 0.000 0.500

(9)
VASP calculation (PBE) on a relaxed AlSbW2 crystal.

Values from the calculation:
For the volume, the calculation gives 67.9 Å³ per cell. The formation energy without anion corrections comes out at 0.566 eV per atom. The symmetry is P4/mmm. The energy comes out at -31.51 eV/cell. The value obtained for the distance to the lowest polymorph of the same formula is 414 meV/atom.

a b c (Å): 4.498 4.498 3.357
angles (deg): 90.00 90.00 90.00
Positions (direct):
Sb1 0.000 0.500 0.500
W1 0.500 0.500 0.000
W2 0.000 0.000 0.000
Al1 0.500 0.000 0.500

(10)
VASP calculation (PBE) on a relaxed AlSbW2 crystal.

Values from the calculation:
For the volume, the calculation gives 68.0 Å³ per cell. The formation energy without anion corrections comes out at 0.152 eV per atom. The symmetry is P4mm. The energy comes out at -33.16 eV/cell. The value obtained for the distance to the lowest polymorph of the same formula is 0 meV/atom.

a b c (Å): 3.348 3.348 6.068
angles (deg): 90.00 90.00 90.00
Positions (direct):
W1 0.500 0.500 0.267
Sb1 0.500 0.500 0.756
W2 0.000 0.000 0.006
Al1 0.000 0.000 0.471

(11)
VASP calculation (PBE) on a relaxed Al2SbW crystal.

Values from the calculation:
For the volume, the calculation gives 71.0 Å³ per cell. The formation energy without anion corrections comes out at 0.333 eV per atom. The symmetry is Cmmm. The energy comes out at -23.23 eV/cell.

a b c (Å): 5.078 5.078 2.874
angles (deg): 90.00 90.00 106.53
Positions (direct):
Sb1 0.500 0.000 0.500
W1 0.000 0.500 0.500
Al1 0.000 0.000 0.000
Al2 0.500 0.500 0.000

(12)
VASP calculation (PBE) on a relaxed Al2SbW2 crystal.

Values from the calculation:
For the volume, the calculation gives 88.8 Å³ per cell. The formation energy without anion corrections comes out at 0.414 eV per atom. The symmetry is I4/mmm. The energy comes out at -35.44 eV/cell.

a b c (Å): 7.395 7.395 7.395
angles (deg): 152.02 152.02 39.98
Positions (direct):
W1 0.399 0.399 0.000
Al1 0.250 0.750 0.500
Sb1 0.000 0.000 0.000
Al2 0.750 0.250 0.500
W2 0.601 0.601 0.000